# 1
Entry from Alexandria: Rb2NdFeO4 after structural relaxation (PBE+U).

Unit cell a=6.2101 b=6.2101 c=6.2101 alpha=120.82 beta=120.82 gamma=88.59
Fractional positions:
1 Rb 0.0000 0.0000 0.0000
2 Rb 0.7500 0.2500 0.5000
3 Nd 0.5000 0.5000 0.0000
4 Fe 0.2500 0.7500 0.5000
5 O 0.2246 0.6395 0.1349
6 O 0.3605 0.4954 0.5851
7 O 0.5046 0.0897 0.8651
8 O 0.9103 0.7754 0.4149

**M_tot**: 5.0 μB per cell
**Uncorrected energy**: -48.10 eV/cell
**D(E_F)**: 0.0 states/eV/cell

=====

# 2
Entry from Alexandria: SrNdFeRuO6 after structural relaxation (PBE+U).

Unit cell a=5.5661 b=5.6589 c=9.6542 alpha=90.00 beta=125.14 gamma=90.00
Fractional positions:
1 Sr 0.0000 0.2148 0.0000
2 Sr 0.0000 0.7852 0.5000
3 Nd 0.4814 0.3005 0.5006
4 Nd 0.4814 0.6995 0.0006
5 Fe 0.7438 0.2454 0.2504
6 Fe 0.7438 0.7546 0.7504
7 Ru 0.2436 0.2481 0.7497
8 Ru 0.2436 0.7519 0.2497
9 O 0.0030 0.4707 0.7877
10 O 0.0030 0.5293 0.2877
11 O 0.0853 0.0430 0.2942
12 O 0.0853 0.9570 0.7942
13 O 0.4250 0.4719 0.2117
14 O 0.4250 0.5281 0.7117
15 O 0.4947 0.0452 0.7065
16 O 0.4947 0.9548 0.2065
17 O 0.5577 0.2726 0.9994
18 O 0.5577 0.7274 0.4994
19 O 0.9061 0.2375 0.5004
20 O 0.9061 0.7625 0.0004

**M_tot**: 14.0 μB per cell
**Uncorrected energy**: -144.59 eV/cell
**D(E_F)**: 5.7 states/eV/cell

=====

# 3
Entry from Alexandria: NdFeS2O8 after structural relaxation (PBE+U).

Unit cell a=5.2290 b=5.2290 c=6.9947 alpha=90.00 beta=90.00 gamma=120.00
Fractional positions:
1 Nd 0.0000 0.0000 0.0000
2 Fe 0.0000 0.0000 0.5000
3 S 0.3333 0.6667 0.2168
4 S 0.6667 0.3333 0.7832
5 O 0.1766 0.3532 0.2837
6 O 0.1766 0.8234 0.2837
7 O 0.3333 0.6667 0.0034
8 O 0.3532 0.1766 0.7163
9 O 0.6468 0.8234 0.2837
10 O 0.6667 0.3333 0.9966
11 O 0.8234 0.1766 0.7163
12 O 0.8234 0.6468 0.7163

**M_tot**: 3.9 μB per cell
**Uncorrected energy**: -77.77 eV/cell
**D(E_F)**: 6.5 states/eV/cell

=====

# 4
Entry from Alexandria: NdFe2SbO6 after structural relaxation (PBE+U).

Unit cell a=5.5051 b=5.5096 c=5.8373 alpha=61.96 beta=62.50 gamma=60.27
Fractional positions:
1 Nd 0.0000 0.0000 0.0000
2 Fe 0.2759 0.2911 0.1647
3 Fe 0.7872 0.7950 0.6336
4 Sb 0.4798 0.4916 0.5459
5 O 0.0995 0.4278 0.8271
6 O 0.2075 0.8677 0.3554
7 O 0.4258 0.6680 0.8129
8 O 0.5547 0.2324 0.3468
9 O 0.6575 0.1047 0.8134
10 O 0.8536 0.5772 0.3489

**M_tot**: 8.0 μB per cell
**Uncorrected energy**: -69.15 eV/cell

=====

# 5
Entry from Alexandria: Nd3Sc2Fe3O12 after structural relaxation (PBE+U).

Unit cell a=11.1699 b=11.1699 c=11.1699 alpha=109.47 beta=109.47 gamma=109.47
Fractional positions:
1 Nd 0.1250 0.2500 0.3750
2 Nd 0.1250 0.3750 0.7500
3 Nd 0.2500 0.3750 0.1250
4 Nd 0.2500 0.8750 0.6250
5 Nd 0.3750 0.1250 0.2500
6 Nd 0.3750 0.7500 0.1250
7 Nd 0.6250 0.2500 0.8750
8 Nd 0.6250 0.8750 0.7500
9 Nd 0.7500 0.1250 0.3750
10 Nd 0.7500 0.6250 0.8750
11 Nd 0.8750 0.6250 0.2500
12 Nd 0.8750 0.7500 0.6250
13 Sc 0.0000 0.0000 0.0000
14 Sc 0.0000 0.0000 0.5000
15 Sc 0.0000 0.5000 0.0000
16 Sc 0.0000 0.5000 0.5000
17 Sc 0.5000 0.0000 0.0000
18 Sc 0.5000 0.0000 0.5000
19 Sc 0.5000 0.5000 0.0000
20 Sc 0.5000 0.5000 0.5000
21 Fe 0.1250 0.7500 0.8750
22 Fe 0.1250 0.8750 0.2500
23 Fe 0.2500 0.1250 0.8750
24 Fe 0.2500 0.6250 0.3750
25 Fe 0.3750 0.2500 0.6250
26 Fe 0.3750 0.6250 0.7500
27 Fe 0.6250 0.3750 0.2500
28 Fe 0.6250 0.7500 0.3750
29 Fe 0.7500 0.3750 0.6250
30 Fe 0.7500 0.8750 0.1250
31 Fe 0.8750 0.1250 0.7500
32 Fe 0.8750 0.2500 0.1250
33 O 0.0270 0.2084 0.1238
34 O 0.0270 0.3187 0.9032
35 O 0.0846 0.7084 0.6813
36 O 0.0846 0.8762 0.4032
37 O 0.0968 0.6238 0.4154
38 O 0.0968 0.9730 0.6813
39 O 0.1238 0.0270 0.2084
40 O 0.1238 0.5968 0.9154
41 O 0.1813 0.2084 0.5846
42 O 0.1813 0.4730 0.5968
43 O 0.2084 0.1238 0.0270
44 O 0.2084 0.5846 0.1813
45 O 0.2916 0.3187 0.9154
46 O 0.2916 0.4730 0.3762
47 O 0.3187 0.9032 0.0270
48 O 0.3187 0.9154 0.2916
49 O 0.3762 0.2916 0.4730
50 O 0.3762 0.5846 0.9032
51 O 0.4032 0.0846 0.8762
52 O 0.4032 0.8187 0.5270
53 O 0.4154 0.0968 0.6238
54 O 0.4154 0.8187 0.7916
55 O 0.4730 0.3762 0.2916
56 O 0.4730 0.5968 0.1813
57 O 0.5270 0.4032 0.8187
58 O 0.5270 0.6238 0.7084
59 O 0.5846 0.1813 0.2084
60 O 0.5846 0.9032 0.3762
61 O 0.5968 0.1813 0.4730
62 O 0.5968 0.9154 0.1238
63 O 0.6238 0.4154 0.0968
64 O 0.6238 0.7084 0.5270
65 O 0.6813 0.0846 0.7084
66 O 0.6813 0.0968 0.9730
67 O 0.7084 0.5270 0.6238
68 O 0.7084 0.6813 0.0846
69 O 0.7916 0.4154 0.8187
70 O 0.7916 0.8762 0.9730
71 O 0.8187 0.5270 0.4032
72 O 0.8187 0.7916 0.4154
73 O 0.8762 0.4032 0.0846
74 O 0.8762 0.9730 0.7916
75 O 0.9032 0.0270 0.3187
76 O 0.9032 0.3762 0.5846
77 O 0.9154 0.1238 0.5968
78 O 0.9154 0.2916 0.3187
79 O 0.9730 0.6813 0.0968
80 O 0.9730 0.7916 0.8762

**M_tot**: 60.0 μB per cell
**Uncorrected energy**: -634.36 eV/cell
**D(E_F)**: 0.0 states/eV/cell

=====

# 6
Entry from Alexandria: Nd2Fe2Se2O3 after structural relaxation (PBE+U).

Unit cell a=9.8556 b=9.8556 c=9.8556 alpha=156.02 beta=156.02 gamma=34.17
Fractional positions:
1 Nd 0.1880 0.1880 0.0000
2 Nd 0.8120 0.8120 0.0000
3 Fe 0.0000 0.5000 0.5000
4 Fe 0.5000 0.0000 0.5000
5 Se 0.4007 0.4007 0.0000
6 Se 0.5993 0.5993 0.0000
7 O 0.0000 0.0000 0.0000
8 O 0.2500 0.7500 0.5000
9 O 0.7500 0.2500 0.5000

**M_tot**: 8.0 μB per cell
**Uncorrected energy**: -61.21 eV/cell
**D(E_F)**: 0.0 states/eV/cell

=====

# 7
Entry from Alexandria: NdSmFe4O12 after structural relaxation (PBE+U).

Unit cell a=5.3446 b=5.3446 c=7.7002 alpha=90.00 beta=90.00 gamma=90.06
Fractional positions:
1 Nd 0.0000 0.0000 0.0000
2 Sm 0.5000 0.5000 0.5000
3 Fe 0.0000 0.5000 0.2505
4 Fe 0.0000 0.5000 0.7495
5 Fe 0.5000 0.0000 0.2505
6 Fe 0.5000 0.0000 0.7495
7 O 0.0000 0.5000 0.0000
8 O 0.0000 0.5000 0.5000
9 O 0.2166 0.7834 0.2468
10 O 0.2166 0.7834 0.7532
11 O 0.2850 0.2850 0.2568
12 O 0.2850 0.2850 0.7432
13 O 0.5000 0.0000 0.0000
14 O 0.5000 0.0000 0.5000
15 O 0.7150 0.7150 0.2568
16 O 0.7150 0.7150 0.7432
17 O 0.7834 0.2166 0.2468
18 O 0.7834 0.2166 0.7532

**M_tot**: 18.0 μB per cell
**Uncorrected energy**: -118.04 eV/cell
**D(E_F)**: 6.6 states/eV/cell

=====

# 8
Entry from Alexandria: Sr2NdFeO6 after structural relaxation (PBE+U).

Unit cell a=5.8691 b=5.8691 c=5.8691 alpha=60.00 beta=60.00 gamma=60.00
Fractional positions:
1 Sr 0.2500 0.2500 0.2500
2 Sr 0.7500 0.7500 0.7500
3 Nd 0.0000 0.0000 0.0000
4 Fe 0.5000 0.5000 0.5000
5 O 0.2731 0.2731 0.7269
6 O 0.2731 0.7269 0.2731
7 O 0.2731 0.7269 0.7269
8 O 0.7269 0.2731 0.2731
9 O 0.7269 0.2731 0.7269
10 O 0.7269 0.7269 0.2731

**M_tot**: 3.0 μB per cell
**Uncorrected energy**: -65.77 eV/cell
**D(E_F)**: 0.7 states/eV/cell

=====

# 9
Entry from Alexandria: Sr3NdFe2O8 after structural relaxation (PBE+U).

Unit cell a=5.4983 b=6.8984 c=6.8984 alpha=46.88 beta=90.00 gamma=90.00
Fractional positions:
1 Sr 0.0000 0.0000 0.0000
2 Sr 0.0000 0.2892 0.2892
3 Sr 0.5000 0.7905 0.7905
4 Nd 0.5000 0.5059 0.5059
5 Fe 0.0000 0.6475 0.6475
6 Fe 0.5000 0.1442 0.1442
7 O 0.0000 0.4844 0.4844
8 O 0.0000 0.8037 0.8037
9 O 0.2569 0.3936 0.8898
10 O 0.2569 0.8898 0.3936
11 O 0.5000 0.3220 0.3220
12 O 0.5000 0.9813 0.9813
13 O 0.7431 0.3936 0.8898
14 O 0.7431 0.8898 0.3936

**M_tot**: 9.0 μB per cell
**Uncorrected energy**: -94.03 eV/cell
**D(E_F)**: 2.5 states/eV/cell

=====

# 10
Entry from Alexandria: SrNdFeO4 after structural relaxation (PBE+U).

Unit cell a=6.8484 b=6.8484 c=6.8484 alpha=146.83 beta=146.83 gamma=47.61
Fractional positions:
1 Sr 0.0000 0.0000 0.0000
2 Nd 0.2834 0.2834 0.0000
3 Fe 0.6397 0.6397 0.0000
4 O 0.1526 0.6526 0.5000
5 O 0.4710 0.4710 0.0000
6 O 0.6526 0.1526 0.5000
7 O 0.8107 0.8107 0.0000

**M_tot**: 5.0 μB per cell
**Uncorrected energy**: -49.69 eV/cell

=====

# 11
Entry from Alexandria: NdTiFe2O6 after structural relaxation (PBE+U).

Unit cell a=5.2662 b=5.2669 c=5.6657 alpha=62.55 beta=63.35 gamma=60.05
Fractional positions:
1 Nd 0.0000 0.0000 0.0000
2 Ti 0.5281 0.5275 0.4256
3 Fe 0.2214 0.2163 0.3509
4 Fe 0.7330 0.7384 0.8040
5 O 0.1520 0.8204 0.5919
6 O 0.3798 0.5485 0.1378
7 O 0.4522 0.1433 0.5963
8 O 0.5473 0.9411 0.1417
9 O 0.8257 0.4384 0.5947
10 O 0.9371 0.3871 0.1307

**M_tot**: 5.0 μB per cell
**Uncorrected energy**: -75.87 eV/cell
**D(E_F)**: 0.0 states/eV/cell

=====

# 12
Entry from Alexandria: Nd2TiFeO6 after structural relaxation (PBE+U).

Unit cell a=5.4568 b=5.4568 c=4.0533 alpha=90.00 beta=90.00 gamma=90.00
Fractional positions:
1 Nd 0.0000 0.5000 0.0000
2 Nd 0.5000 0.0000 0.0000
3 Ti 0.0000 0.0000 0.5495
4 Fe 0.5000 0.5000 0.5928
5 O 0.0000 0.0000 0.0887
6 O 0.2450 0.2450 0.6120
7 O 0.2450 0.7550 0.6120
8 O 0.5000 0.5000 0.0914
9 O 0.7550 0.2450 0.6120
10 O 0.7550 0.7550 0.6120

**M_tot**: 0.0 μB per cell
**Uncorrected energy**: -79.08 eV/cell
**D(E_F)**: 0.0 states/eV/cell

=====

# 13
Entry from Alexandria: Nd2TlFeO6 after structural relaxation (PBE+U).

Unit cell a=5.6239 b=5.9541 c=9.9279 alpha=90.00 beta=124.36 gamma=90.00
Fractional positions:
1 Nd 0.2308 0.0647 0.2516
2 Nd 0.2308 0.4353 0.7516
3 Nd 0.7692 0.5647 0.2484
4 Nd 0.7692 0.9353 0.7484
5 Tl 0.5000 0.0000 0.0000
6 Tl 0.5000 0.5000 0.5000
7 Fe 0.0000 0.0000 0.5000
8 Fe 0.0000 0.5000 0.0000
9 O 0.1077 0.2101 0.9296
10 O 0.1077 0.2899 0.4296
11 O 0.2324 0.6811 0.9404
12 O 0.2324 0.8189 0.4404
13 O 0.3582 0.0526 0.7336
14 O 0.3582 0.4474 0.2336
15 O 0.6418 0.5526 0.7664
16 O 0.6418 0.9474 0.2664
17 O 0.7676 0.1811 0.5596
18 O 0.7676 0.3189 0.0596
19 O 0.8923 0.7101 0.5704
20 O 0.8923 0.7899 0.0704

**M_tot**: 10.0 μB per cell
**Uncorrected energy**: -138.82 eV/cell

=====

# 14
Entry from Alexandria: Nd2VFeO6 after structural relaxation (PBE+U).

Unit cell a=5.5104 b=5.8283 c=9.3821 alpha=90.00 beta=124.70 gamma=90.00
Fractional positions:
1 Nd 0.2265 0.0672 0.2482
2 Nd 0.2265 0.4328 0.7482
3 Nd 0.7735 0.5672 0.2518
4 Nd 0.7735 0.9328 0.7518
5 V 0.5000 0.0000 0.0000
6 V 0.5000 0.5000 0.5000
7 Fe 0.0000 0.0000 0.5000
8 Fe 0.0000 0.5000 0.0000
9 O 0.1586 0.1887 0.9505
10 O 0.1586 0.3113 0.4505
11 O 0.2580 0.7093 0.9470
12 O 0.2580 0.7907 0.4470
13 O 0.3625 0.0272 0.7624
14 O 0.3625 0.4728 0.2624
15 O 0.6375 0.5272 0.7376
16 O 0.6375 0.9728 0.2376
17 O 0.7420 0.2093 0.5530
18 O 0.7420 0.2907 0.0530
19 O 0.8414 0.6887 0.5495
20 O 0.8414 0.8113 0.0495

**M_tot**: 10.1 μB per cell
**Uncorrected energy**: -157.51 eV/cell

=====

# 15
Entry from Alexandria: NdFe2WO6 after structural relaxation (PBE+U).

Unit cell a=5.4848 b=5.5006 c=5.8029 alpha=61.94 beta=89.15 gamma=60.84
Fractional positions:
1 Nd 0.0000 0.0000 0.0000
2 Fe 0.2838 0.4231 0.8412
3 Fe 0.7918 0.4259 0.3661
4 W 0.4878 0.0202 0.4582
5 O 0.1073 0.4759 0.1766
6 O 0.2344 0.9105 0.6524
7 O 0.4295 0.9090 0.1836
8 O 0.5728 0.2084 0.6624
9 O 0.6661 0.2324 0.1955
10 O 0.8652 0.5711 0.6469

**M_tot**: 9.0 μB per cell
**Uncorrected energy**: -73.93 eV/cell
**D(E_F)**: 0.0 states/eV/cell